# MnOsCl2

MnOsCl2 after structural relaxation (PBE, Alexandria).

The structure belongs to space group Pmm2 (No. 25); the cell edges are 2.986, 3.035 and 8.595 Å and the angles 90.00°, 90.00° and 90.00°. Symmetry generates all atoms from Mn at (0.000, 0.000, 0.000), Os at (0.500, 0.500, 0.168), Cl at (0.000, 0.500, 0.388) and Cl at (0.500, 0.000, 0.796).

As for the raw total energy: -6.05 eV per atom. The calculation puts the energy above the most stable polymorph in this dataset at 0.0 meV per atom. As for the density: 6.738 g cm⁻³. The formation energy without anion corrections comes out at -0.031 eV/atom. As for the magnetic moment: 2.3 μB/f.u.